Entry 1:
Here is NaAcPrTe3 after structural relaxation from Alexandria. Energies are from PBE-GGA.

Properties
crystal system: monoclinic
space-group type: P2_1/m, No. 11
spin magnetization: 0.0 μB/f.u.
density of states at the Fermi level: 0.547 states/eV per atom
raw total energy: -54.68 eV for the cell shown

The structure in POSCAR format:
```
NaAcPrTe3
1.0
9.325 0.000 0.000
0.000 4.554 0.000
-2.758 0.000 9.813
Na Ac Pr Te
2 2 2 6
direct
0.096 0.250 0.090
0.904 0.750 0.910
0.198 0.250 0.731
0.802 0.750 0.269
0.336 0.750 0.350
0.664 0.250 0.650
0.092 0.250 0.381
0.252 0.750 0.997
0.436 0.750 0.676
0.564 0.250 0.324
0.748 0.250 0.003
0.908 0.750 0.619
```


Entry 2:
Here is ReSiPb2 after structural relaxation from Alexandria. Energies are from PBE-GGA.

Properties
crystal system: orthorhombic
space-group type: Immm, No. 71
spin magnetization: 0.4 μB/f.u.
density of states at the Fermi level: 0.861 states/eV per atom
raw total energy: -47.64 eV for the cell shown

The structure in POSCAR format:
```
ReSiPb2
1.0
3.057 0.000 0.000
0.000 3.828 0.000
0.000 0.000 17.057
Re Si Pb
2 2 4
direct
0.000 0.000 0.000
0.500 0.500 0.500
0.000 0.000 0.500
0.500 0.500 0.000
0.000 0.500 0.346
0.000 0.500 0.654
0.500 0.000 0.154
0.500 0.000 0.846
```


Entry 3:
Here is Sr2MnRe after structural relaxation from Alexandria. Energies are from PBE-GGA.

Properties
crystal system: orthorhombic
space-group type: Cmmm, No. 65
spin magnetization: 3.6 μB/f.u.
density of states at the Fermi level: 1.197 states/eV per atom
energy of formation: 1.16 eV/atom
energy above the lowest structure with this stoichiometry: 778 meV per atom
raw total energy: -40.69 eV for the cell shown

The structure in POSCAR format:
```
Sr2MnRe
1.0
6.570 0.000 0.000
0.000 9.728 0.000
0.000 0.000 3.068
Sr Mn Re
4 2 2
direct
0.250 0.250 0.000
0.250 0.750 0.000
0.750 0.250 0.000
0.750 0.750 0.000
0.000 0.000 0.500
0.500 0.500 0.500
0.000 0.500 0.500
0.500 0.000 0.500
```


Entry 4:
Here is YHo2Er2Mg2 after structural relaxation from Alexandria. Energies are from PBE-GGA.

Properties
crystal system: trigonal
space-group type: R-3m, No. 166
spin magnetization: 0.0 μB/f.u.
density of states at the Fermi level: 1.149 states/eV per atom
energy of formation: -0.03 eV/atom
raw total energy: -28.13 eV for the cell shown

The structure in POSCAR format:
```
YHo2Er2Mg2
1.0
2.703 1.560 7.958
-2.703 1.560 7.958
0.000 -3.121 7.958
Y Ho Er Mg
1 2 2 2
direct
0.000 0.000 0.000
0.427 0.427 0.427
0.573 0.573 0.573
0.155 0.155 0.155
0.845 0.845 0.845
0.289 0.289 0.289
0.711 0.711 0.711
```


Entry 5:
Here is SmHo3Tm6Sc2 after structural relaxation from Alexandria. Energies are from PBE-GGA.

Properties
crystal system: monoclinic
space-group type: C2/m, No. 12
spin magnetization: 0.0 μB/f.u.
density of states at the Fermi level: 1.439 states/eV per atom
energy of formation: 0.04 eV/atom
raw total energy: -57.48 eV for the cell shown

The structure in POSCAR format:
```
SmHo3Tm6Sc2
1.0
3.005 -5.201 0.000
3.005 5.201 0.000
-1.998 0.000 11.338
Sm Ho Tm Sc
1 3 6 2
direct
0.000 0.000 0.000
0.167 0.833 0.500
0.500 0.500 0.500
0.833 0.167 0.500
0.083 0.418 0.246
0.253 0.253 0.754
0.418 0.083 0.246
0.582 0.917 0.754
0.747 0.747 0.246
0.917 0.582 0.754
0.333 0.667 0.000
0.667 0.333 0.000
```


Entry 6:
Here is CsReP2O after structural relaxation from Alexandria. Energies are from PBE-GGA.

Properties
crystal system: tetragonal
space-group type: P4/mmm, No. 123
spin magnetization: 0.0 μB/f.u.
density of states at the Fermi level: 0.709 states/eV per atom
energy above the lowest structure with this stoichiometry: 0 meV per atom
raw total energy: -29.35 eV for the cell shown

The structure in POSCAR format:
```
CsReP2O
1.0
4.930 0.000 0.000
0.000 4.930 0.000
0.000 0.000 3.974
Cs Re P O
1 1 2 1
direct
0.000 0.000 0.000
0.500 0.500 0.500
0.000 0.500 0.500
0.500 0.000 0.500
0.500 0.500 0.000
```